[1]
The following is a PBEsol calculation of a relaxed Mg2TcW crystal, from the Alexandria database.

Calculated total energy in eV/atom: -6.7739
Calculated volume in Å³/f.u.: 63.9

```
Mg2TcW
1.0
3.2414 0.0000 0.0000
0.0000 4.2476 0.0000
0.0000 0.0000 9.2892
Mg Tc W
4 2 2
direct
0.0000 0.0000 0.2422 Mg
0.0000 0.0000 0.7578 Mg
0.5000 0.5000 0.2578 Mg
0.5000 0.5000 0.7422 Mg
0.0000 0.5000 0.5000 Tc
0.5000 0.0000 0.0000 Tc
0.0000 0.5000 0.0000 W
0.5000 0.0000 0.5000 W
```

---

[2]
The following is a PBEsol calculation of a relaxed Mg2TcW crystal, from the Alexandria database.

Calculated total energy in eV/atom: -6.7633
Calculated volume in Å³/f.u.: 67.8

```
Mg2TcW
1.0
3.2709 0.0000 0.0000
0.0000 4.7195 0.0000
0.0000 0.0000 8.7864
Mg Tc W
4 2 2
direct
0.0000 0.0000 0.0000 Mg
0.0000 0.5000 0.2303 Mg
0.5000 0.0000 0.7303 Mg
0.5000 0.5000 0.5000 Mg
0.0000 0.5000 0.7581 Tc
0.5000 0.0000 0.2581 Tc
0.0000 0.0000 0.4585 W
0.5000 0.5000 0.9585 W
```

---

[3]
The following is a PBEsol calculation of a relaxed MgZnTc2W crystal, from the Alexandria database.

Calculated total energy in eV/atom: -5.5613
Calculated volume in Å³/f.u.: 88.2

```
MgZnTc2W
1.0
4.4077 0.0000 0.0000
0.0000 4.4077 0.0000
0.0000 0.0000 4.5390
Mg Zn Tc W
1 1 2 1
direct
0.0000 0.0000 0.0000 Mg
0.5000 0.5000 0.5000 Zn
0.0000 0.5000 0.0000 Tc
0.5000 0.0000 0.0000 Tc
0.0000 0.0000 0.5000 W
```

---

[4]
The following is a PBEsol calculation of a relaxed Y2MgTc crystal, from the Alexandria database.

Calculated total energy in eV/atom: -6.6914
Calculated volume in Å³/f.u.: 94.0

```
Y2MgTc
1.0
3.4383 0.0000 0.0000
0.0000 3.4383 0.0000
0.0000 0.0000 7.9498
Y Mg Tc
2 1 1
direct
0.0000 0.0000 0.2020 Y
0.0000 0.0000 0.7980 Y
0.5000 0.5000 0.5000 Mg
0.5000 0.5000 0.0000 Tc
```

---

[5]
The following is a PBEsol calculation of a relaxed YMgTc2 crystal, from the Alexandria database.

Calculated total energy in eV/atom: -7.4816
Calculated volume in Å³/f.u.: 74.2

```
YMgTc2
1.0
3.4657 0.0000 0.0000
0.0000 3.4657 0.0000
0.0000 0.0000 6.1736
Y Mg Tc
1 1 2
direct
0.0000 0.0000 0.0000 Y
0.0000 0.0000 0.5000 Mg
0.5000 0.5000 0.3156 Tc
0.5000 0.5000 0.6844 Tc
```

---

[6]
The following is a PBEsol calculation of a relaxed Y4MgTc crystal, from the Alexandria database.

Calculated total energy in eV/atom: -5.9218
Calculated volume in Å³/f.u.: 154.2

```
Y4MgTc
1.0
0.0000 4.2562 4.2562
4.2562 0.0000 4.2562
4.2562 4.2562 0.0000
Y Mg Tc
4 1 1
direct
0.1233 0.1233 0.1233 Y
0.1233 0.1233 0.6300 Y
0.1233 0.6300 0.1233 Y
0.6300 0.1233 0.1233 Y
0.5000 0.5000 0.5000 Mg
0.7500 0.7500 0.7500 Tc
```

---

[7]
The following is a PBEsol calculation of a relaxed YMgTc4 crystal, from the Alexandria database.

Calculated total energy in eV/atom: -8.9028
Calculated volume in Å³/f.u.: 101.6

```
YMgTc4
1.0
0.0000 3.7041 3.7041
3.7041 0.0000 3.7041
3.7041 3.7041 0.0000
Y Mg Tc
1 1 4
direct
0.0000 0.0000 0.0000 Y
0.2500 0.2500 0.2500 Mg
0.1263 0.6246 0.6246 Tc
0.6246 0.1263 0.6246 Tc
0.6246 0.6246 0.1263 Tc
0.6246 0.6246 0.6246 Tc
```

---

[8]
The following is a PBEsol calculation of a relaxed Y2MgTc crystal, from the Alexandria database.

Calculated total energy in eV/atom: -6.4715
Calculated volume in Å³/f.u.: 92.4

```
Y2MgTc
1.0
4.5756 0.0000 0.0000
0.0000 3.7038 0.0000
0.0000 0.0000 10.9057
Y Mg Tc
4 2 2
direct
0.0000 0.0000 0.0000 Y
0.0000 0.5000 0.5000 Y
0.5000 0.0000 0.2961 Y
0.5000 0.5000 0.7961 Y
0.0000 0.0000 0.7130 Mg
0.0000 0.5000 0.2130 Mg
0.5000 0.0000 0.5771 Tc
0.5000 0.5000 0.0771 Tc
```